1.
Material: Ac2MgAg3Sn4
Method: DFT, GGA-PBE
State: relaxed

Cell: 4.6537 4.6537 12.1872 Å, 90.00 90.00 90.00°
Space group P-4m2 (No. 115)
Symmetry-distinct sites (fractional):
Ac: 0.0000 0.5000 0.2487 [2 per cell]
Mg: 0.0000 0.0000 0.5000 [1 per cell]
Ag: 0.0000 0.5000 0.8616 [2 per cell]
Ag: 0.5000 0.5000 0.5000 [1 per cell]
Sn: 0.0000 0.0000 0.0000 [1 per cell]
Sn: 0.0000 0.5000 0.6389 [2 per cell]
Sn: 0.5000 0.5000 0.0000 [1 per cell]

Output
DFT formation energy: -461 meV/atom
Fermi-level density of states: 0.16 states/eV per atom
Uncorrected energy: -3.8987 eV/atom
Magnetic moment: 0.000 μB per atom

***

2.
Material: Th2NbSb
Method: DFT, GGA-PBE
State: relaxed

Cell: 3.3289 3.3289 34.4932 Å, 90.00 90.00 120.00°
Space group R-3m (No. 166, hexagonal axes)
Symmetry-distinct sites (fractional):
Th: 0.0000 0.0000 0.0848 [6 per cell]
Nb: 0.0000 0.0000 0.0000 [3 per cell]
Sb: 0.0000 0.0000 0.5000 [3 per cell]

Output
Fermi-level density of states: 1.77 states/eV per atom
Uncorrected energy: -6.8873 eV/atom
Magnetic moment: 0.000 μB per atom
Formation energy without anion corrections: 371 meV/atom